This record from Alexandria via LeMat-Bulk describes a relaxed Ac6CoAgIr2 crystal. The functional is PBE.

Values from the calculation:
magnetic moment: 0.0000 μB per atom
formation enthalpy at 0 K: -347.5 meV per atom
density of states at the Fermi level: 6.3 states/eV/cell

a = 7.5670 Å, b = 7.5704 Å, c = 8.2348 Å
α = 90.03°, β = 117.34°, γ = 119.94°
Atoms (fractional coordinates):
1 Ac 0.0000 0.0000 0.0000
2 Ac 0.0031 0.8011 0.4771
3 Ac 0.3221 0.4604 0.4773
4 Ac 0.3886 0.6478 0.0002
5 Ac 0.6469 0.2585 0.9999
6 Ac 0.6632 0.1203 0.4771
7 Co 0.8468 0.0528 0.2526
8 Ag 0.8547 0.5564 0.7646
9 Ir 0.4897 0.8742 0.7170
10 Ir 0.5106 0.3848 0.2487

---

This record from Alexandria via LeMat-Bulk describes a relaxed Ac2LaCoAg crystal. The functional is PBE.

Values from the calculation:
magnetic moment: 0.0000 μB per atom
formation enthalpy at 0 K: -123.3 meV per atom
density of states at the Fermi level: 8.1 states/eV/cell

a = 8.8050 Å, b = 4.2817 Å, c = 9.0070 Å
α = 90.00°, β = 104.95°, γ = 90.00°
Atoms (fractional coordinates):
1 Ac 0.1262 0.2500 0.3804
2 Ac 0.1868 0.2500 0.9512
3 Ac 0.8132 0.7500 0.0488
4 Ac 0.8738 0.7500 0.6196
5 La 0.4545 0.7500 0.2991
6 La 0.5455 0.2500 0.7009
7 Co 0.1684 0.7500 0.1748
8 Co 0.8316 0.2500 0.8252
9 Ag 0.2685 0.7500 0.6793
10 Ag 0.7315 0.2500 0.3207

---

This record from Alexandria via LeMat-Bulk describes a relaxed AcLa2CoAg crystal. The functional is PBE.

Values from the calculation:
magnetic moment: 0.0000 μB per atom
formation enthalpy at 0 K: -57.8 meV per atom
density of states at the Fermi level: 5.6 states/eV/cell

a = 5.2462 Å, b = 5.2462 Å, c = 5.7884 Å
α = 90.00°, β = 90.00°, γ = 90.00°
Atoms (fractional coordinates):
1 Ac 0.0000 0.0000 0.0000
2 La 0.0000 0.5000 0.4884
3 La 0.5000 0.0000 0.4884
4 Co 0.0000 0.0000 0.5084
5 Ag 0.5000 0.5000 0.0575

---

This record from Alexandria via LeMat-Bulk describes a relaxed AcLaCoAg crystal. The functional is PBE.

Values from the calculation:
magnetic moment: 0.1001 μB per atom
formation enthalpy at 0 K: -7.6 meV per atom
density of states at the Fermi level: 4.8 states/eV/cell

a = 5.2964 Å, b = 5.2964 Å, c = 5.2964 Å
α = 60.00°, β = 60.00°, γ = 60.00°
Atoms (fractional coordinates):
1 Ac 0.0000 0.0000 0.0000
2 La 0.5000 0.5000 0.5000
3 Co 0.7500 0.7500 0.7500
4 Ag 0.2500 0.2500 0.2500